The following is a DFT calculation (GGA-PBE) of an optimized crystal structure of Mn2ReMoAu.

a b c (Å): 4.5815 4.7105 4.5815
angles (deg): 90.00 90.00 90.00
Site moments in Bohr magnetons follow the coordinates.
Fractional coordinates of all 5 atoms:
1 Re 0.0000 0.5000 0.0000  -0.18
2 Mo 0.0000 0.0000 0.0000  -0.68
3 Mn 0.0000 0.0000 0.5000  3.06
4 Mn 0.5000 0.0000 0.0000  3.27
5 Au 0.5000 0.5000 0.5000  0.01

Computed properties:
As for the space group: P4/mmm, No. 123. The value obtained for the formation energy is 1.539 eV per atom. The offset from the most stable computed form comes out at 206.3 meV/atom. The energy is -7.4397 eV per atom.